(1)
Entry from the Alexandria database: CeTiSi after structural relaxation (PBE-GGA).

POSCAR file:
```
CeTiSi
1.0
5.295 0.000 0.000
0.000 2.955 0.000
0.000 0.000 7.338
Ce Ti Si
2 2 2
Cartesian
1.324 0.000 0.949
3.971 0.000 6.389
0.000 0.000 3.669
2.648 0.000 3.669
1.324 1.477 5.550
3.971 1.477 1.788
```

Values from the calculation:
Energy relative to the elements, uncorrected ... -31 kJ/mol of atoms
E ... -6.74 eV/atom

=====

(2)
Entry from the Alexandria database: Ac8TlOs2 after structural relaxation (PBE-GGA).

POSCAR file:
```
Ac8TlOs2
1.0
4.737 -7.138 0.000
4.737 7.138 0.000
-1.393 0.000 5.977
Ac Tl Os
8 1 2
Cartesian
0.000 0.000 0.000
0.875 1.886 3.766
3.352 3.558 1.244
0.875 -1.886 3.766
4.450 1.881 4.694
3.352 -3.558 1.244
4.450 -1.881 4.694
6.767 0.000 2.520
3.392 0.000 1.248
2.667 4.348 4.240
2.667 -4.348 4.240
```

Values from the calculation:
E ... -5.26 eV/atom
Formation enthalpy at 0 K ... -0.1 eV/f.u.

=====

(3)
Entry from the Alexandria database: Ti3InMo2 after structural relaxation (PBE-GGA).

POSCAR file:
```
Ti3InMo2
1.0
3.264 0.000 0.000
0.000 3.264 0.000
0.000 0.000 9.634
Ti In Mo
3 1 2
Cartesian
0.000 0.000 0.000
0.000 0.000 2.921
0.000 0.000 6.713
1.632 1.632 4.817
1.632 1.632 1.583
1.632 1.632 8.050
```

Values from the calculation:
E ... -8.19 eV/atom
Formation enthalpy at 0 K ... -1.1 eV/f.u.

=====

(4)
Entry from the Alexandria database: BeGa2SbW after structural relaxation (PBE-GGA).

POSCAR file:
```
BeGa2SbW
1.0
5.289 0.000 0.000
0.000 5.289 0.000
0.000 0.000 4.350
Be Ga Sb W
1 2 1 1
Cartesian
0.000 0.000 0.000
0.000 2.645 2.175
2.645 0.000 2.175
0.000 0.000 2.175
2.645 2.645 0.000
```

Values from the calculation:
Energy relative to the elements, uncorrected ... 167 kJ/mol of atoms
E ... -3.64 eV/atom

=====

Question: Look up the E of the fourth one.
Answer: -3.64 eV/atom

=====

Please write out number 1 again, unchanged.
Entry from the Alexandria database: CeTiSi after structural relaxation (PBE-GGA).

POSCAR file:
```
CeTiSi
1.0
5.295 0.000 0.000
0.000 2.955 0.000
0.000 0.000 7.338
Ce Ti Si
2 2 2
Cartesian
1.324 0.000 0.949
3.971 0.000 6.389
0.000 0.000 3.669
2.648 0.000 3.669
1.324 1.477 5.550
3.971 1.477 1.788
```

Values from the calculation:
Energy relative to the elements, uncorrected ... -31 kJ/mol of atoms
E ... -6.74 eV/atom

=====

Question: What is the E in the first record?
Answer: -6.74 eV/atom

=====

Question: The lowest E belongs to which entry?
Answer: Ti3InMo2